Record 1
# CdP2PbO8

An optimized crystal structure of CdP2PbO8 (PBE, Alexandria).

abc: 5.3995 5.3995 7.4673
angles: 90.00 90.00 120.00
Fractional positions:
O1 0.6482 0.8223 0.7121
O2 0.1777 0.8258 0.7121
O3 0.8223 0.1742 0.2879
O4 0.8258 0.6482 0.2879
O5 0.6667 0.3333 0.0169
O6 0.3518 0.1777 0.2879
O7 0.3333 0.6667 0.9831
O8 0.1742 0.3518 0.7121
P1 0.3333 0.6667 0.7750
P2 0.6667 0.3333 0.2250
Cd1 0.0000 0.0000 0.5000
Pb1 0.0000 0.0000 0.0000

Results
- calculated density (kg/m³) = 4488
- space-group type = P-3, No. 147
- total magnetic moment (μB/f.u.) = 2.0
- uncorrected energy (eV per atom) = -6.178

Record 2
# MgSc2ZnH

An optimized crystal structure of MgSc2ZnH (PBE, Alexandria).

abc: 4.6361 4.6361 3.8579
angles: 90.00 90.00 90.00
Fractional positions:
Sc1 0.0000 0.5000 0.0000
Sc2 0.5000 0.0000 0.0000
H1 0.0000 0.0000 0.0000
Mg1 0.5000 0.5000 0.5000
Zn1 0.0000 0.0000 0.5000

Results
- E above lowest polymorph (eV/atom) = 0.035
- calculated density (kg/m³) = 3617
- space-group type = P4/mmm, No. 123
- total magnetic moment (μB/f.u.) = 0.4

Record 3
# OsRhPb

An optimized crystal structure of OsRhPb (PBE, Alexandria).

abc: 4.4404 3.0022 16.0160
angles: 90.00 90.00 90.00
Fractional positions:
Os1 0.5000 0.0000 0.6302
Os2 0.5000 0.5000 0.4974
Os3 0.5000 0.5000 0.1302
Os4 0.5000 0.0000 0.9974
Pb1 0.0000 0.0000 0.1929
Pb2 0.0000 0.0000 0.8812
Pb3 0.0000 0.5000 0.3812
Pb4 0.0000 0.5000 0.6929
Rh1 0.5000 0.5000 0.8077
Rh2 0.5000 0.0000 0.3077
Rh3 0.0000 0.0000 0.5330
Rh4 0.0000 0.5000 0.0330

Results
- E above lowest polymorph (eV/atom) = 0.030
- calculated density (kg/m³) = 15565
- space-group type = Amm2, No. 38
- total magnetic moment (μB/f.u.) = 0.0

Record 4
# MnZnRh2

An optimized crystal structure of MnZnRh2 (PBE, Alexandria).

abc: 4.7864 4.7864 4.7864
angles: 134.26 134.32 66.63
Fractional positions:
Mn1 0.2500 0.7500 0.5000
Zn1 0.5001 0.5001 0.0000
Rh1 0.9999 0.9999 0.0000
Rh2 0.7500 0.2500 0.5000

Results
- calculated density (kg/m³) = 9796
- space-group type = I-4m2, No. 119
- total magnetic moment (μB/f.u.) = 2.8
- uncorrected energy (eV per atom) = -6.501